1.
Below is a geometry-optimized Tm6LuHg structure, with properties calculated at the PBE level.

Unit cell a=6.9294 b=6.9294 c=5.4593 alpha=90.00 beta=90.00 gamma=120.00
Last column: nearest neighbours and their distance in Å.
Positions (direct):
Tm 0.0041 0.5021 0.0000  2 Hg 3.37, 8 Tm 3.41-3.51, 2 Lu 3.46
Tm 0.3251 0.1626 0.5000  2 Lu 3.36, 8 Tm 3.38-3.55, 2 Hg 3.47
Tm 0.4979 0.5021 0.0000  2 Hg 3.37, 8 Tm 3.41-3.51, 2 Lu 3.46
Tm 0.4979 0.9959 0.0000  2 Hg 3.37, 8 Tm 3.41-3.51, 2 Lu 3.46
Tm 0.8374 0.1626 0.5000  2 Lu 3.36, 8 Tm 3.38-3.55, 2 Hg 3.47
Tm 0.8374 0.6749 0.5000  2 Lu 3.36, 8 Tm 3.38-3.55, 2 Hg 3.47
Lu 0.0000 0.0000 0.0000  12 Tm 3.36-3.46
Hg 0.3333 0.6667 0.5000  12 Tm 3.37-3.47

## Properties
DFT formation energy = -0.036 eV per atom
uncorrected energy = -3.9951 eV/atom
magnetic moment = 1.0 μB per formula unit
density = 10.16 g/cm3

***

2.
Below is a geometry-optimized KScCoTe3 structure, with properties calculated at the PBE level.

Unit cell a=9.7049 b=4.0737 c=10.0987 alpha=90.00 beta=112.82 gamma=90.00
Last column: nearest neighbours and their distance in Å.
Positions (direct):
K 0.2107 0.2500 0.2395  7 Te 3.49-3.64
K 0.7893 0.7500 0.7605  7 Te 3.49-3.64
Sc 0.3285 0.7500 0.8557  6 Te 2.90-2.98
Sc 0.6715 0.2500 0.1443  6 Te 2.90-2.98
Co 0.0763 0.2500 0.5886  4 Te 2.51-2.57, 2 Co 2.74
Co 0.9237 0.7500 0.4114  4 Te 2.51-2.57, 2 Co 2.74
Te 0.1139 0.2500 0.8546  1 Co 2.57
Te 0.2037 0.7500 0.5355  3 Co 2.51-2.55
Te 0.4648 0.7500 0.1670  3 Sc 2.90-2.93
Te 0.5352 0.2500 0.8330  3 Sc 2.90-2.93
Te 0.7963 0.2500 0.4645  3 Co 2.51-2.55
Te 0.8861 0.7500 0.1454  1 Co 2.57

## Properties
uncorrected energy = -4.7871 eV/atom
magnetic moment = 1.8 μB per formula unit
density = 4.75 g/cm3

***

3.
Below is a geometry-optimized GdGeH2O4 structure, with properties calculated at the PBE level.

Unit cell a=5.0205 b=6.2077 c=12.1098 alpha=90.00 beta=102.73 gamma=90.00
Last column: nearest neighbours and their distance in Å.
Positions (direct):
Gd 0.0526 0.2189 0.3423  6 O 2.24-2.50
Gd 0.0526 0.2811 0.8423  6 O 2.24-2.50
Gd 0.9474 0.7189 0.1577  6 O 2.24-2.50
Gd 0.9474 0.7811 0.6577  6 O 2.24-2.50
Ge 0.2930 0.2108 0.1056  3 O 1.78-1.97
Ge 0.2930 0.2892 0.6056  3 O 1.78-1.97
Ge 0.7070 0.7108 0.3944  3 O 1.78-1.97
Ge 0.7070 0.7892 0.8944  3 O 1.78-1.97
H 0.3424 0.7438 0.5049  1 O 1.03
H 0.3424 0.7562 0.0049  1 O 1.03
H 0.4795 0.0286 0.7450  1 O 1.05
H 0.4795 0.4714 0.2450  1 O 1.05
H 0.5205 0.5286 0.7550  1 O 1.05
H 0.5205 0.9714 0.2550  1 O 1.05
H 0.6576 0.2438 0.9951  1 O 1.03
H 0.6576 0.2562 0.4951  1 O 1.03
O 0.0375 0.7473 0.9826  1 H 1.50
O 0.0375 0.7527 0.4826  1 H 1.50
O 0.2269 0.5021 0.7164  1 H 1.45
O 0.2269 0.9979 0.2164  1 H 1.45
O 0.2696 0.0538 0.7155  1 H 1.05
O 0.2696 0.4462 0.2155  1 H 1.05
O 0.4481 0.2442 0.9703  1 H 1.03
O 0.4481 0.2558 0.4703  1 H 1.03
O 0.5519 0.7442 0.5297  1 H 1.03
O 0.5519 0.7558 0.0297  1 H 1.03
O 0.7304 0.5538 0.7845  1 H 1.05
O 0.7304 0.9462 0.2845  1 H 1.05
O 0.7731 0.0021 0.7836  1 H 1.45
O 0.7731 0.4979 0.2836  1 H 1.45
O 0.9625 0.2473 0.5174  1 H 1.50
O 0.9625 0.2527 0.0174  1 H 1.50

## Properties
uncorrected energy = -6.2393 eV/atom
magnetic moment = 0.0 μB per formula unit
density = 5.34 g/cm3